Below is a relaxed structure of ThCu9Pd2, with properties calculated at the PBE-GGA level.

```
data_ThCu9Pd2
_chemical_formula_sum 'Th3 Cu27 Pd6'
_cell_length_a 5.0133
_cell_length_b 5.0133
_cell_length_c 23.5953
_cell_angle_alpha 90.00
_cell_angle_beta 90.00
_cell_angle_gamma 120.00
_symmetry_space_group_name_H-M 'R -3 m'
_symmetry_Int_Tables_number 166
_symmetry_space_group_name_Hall '-R 3 2"'
loop_
_atom_site_label
_atom_site_type_symbol
_atom_site_fract_x
_atom_site_fract_y
_atom_site_fract_z
Th1 Th 0.0000 0.0000 0.0000
Cu1 Cu 0.0000 0.0000 0.3341
Cu2 Cu 0.0000 0.0000 0.5000
Cu3 Cu 0.0062 0.5031 0.9131
Pd1 Pd 0.0000 0.0000 0.1441
```

* formation enthalpy at 0 K: -0.1546 eV/atom
* VASP energy: -4.711 eV per atom



Below is a relaxed structure of Th2Cu2Pd, with properties calculated at the PBE-GGA level.

```
data_Th2Cu2Pd
_chemical_formula_sum 'Th8 Cu8 Pd4'
_cell_length_a 10.368
_cell_length_b 4.309
_cell_length_c 10.671
_cell_angle_alpha 90.00
_cell_angle_beta 114.84
_cell_angle_gamma 90.00
_symmetry_space_group_name_H-M 'C 1 2/m 1'
_symmetry_Int_Tables_number 12
loop_
_symmetry_equiv_pos_as_xyz
'x,y,z'
'-x,-y,-z'
'-x,y,-z'
'x,-y,z'
'x+1/2,y+1/2,z'
'-x+1/2,-y+1/2,-z'
'-x+1/2,y+1/2,-z'
'x+1/2,-y+1/2,z'
loop_
_atom_site_label
_atom_site_type_symbol
_atom_site_fract_x
_atom_site_fract_y
_atom_site_fract_z
Th1 Th 0.024 0.000 0.342
Th2 Th 0.193 0.000 0.108
Cu1 Cu 0.025 0.500 0.892
Cu2 Cu 0.133 0.500 0.561
Pd1 Pd 0.223 0.500 0.328
```

* relative energy among the computed polymorphs: 0.00 eV/f.u.
* formation enthalpy at 0 K: -0.3557 eV/atom
* VASP energy: -6.001 eV per atom



Below is a relaxed structure of Th2CuPd3, with properties calculated at the PBE-GGA level.

```
data_Th2CuPd3
_chemical_formula_sum 'Th4 Cu2 Pd6'
_cell_length_a 10.264
_cell_length_b 4.074
_cell_length_c 7.341
_cell_angle_alpha 90.00
_cell_angle_beta 124.45
_cell_angle_gamma 90.00
_symmetry_space_group_name_H-M 'C 1 m 1'
_symmetry_Int_Tables_number 8
loop_
_symmetry_equiv_pos_as_xyz
'x,y,z'
'x,-y,z'
'x+1/2,y+1/2,z'
'x+1/2,-y+1/2,z'
loop_
_atom_site_label
_atom_site_type_symbol
_atom_site_fract_x
_atom_site_fract_y
_atom_site_fract_z
Th1 Th 0.000 0.000 0.000
Th2 Th 0.085 0.000 0.567
Cu1 Cu 0.373 0.000 0.213
Pd1 Pd 0.184 0.500 0.352
Pd2 Pd 0.207 0.500 0.965
Pd3 Pd 0.393 0.000 0.618
```

* relative energy among the computed polymorphs: 0.00 eV/f.u.
* formation enthalpy at 0 K: -0.6745 eV/atom
* VASP energy: -6.427 eV per atom



Below is a relaxed structure of ThCu2Pd4, with properties calculated at the PBE-GGA level.

```
data_ThCu2Pd4
_chemical_formula_sum 'Th2 Cu4 Pd8'
_cell_length_a 8.432
_cell_length_b 6.800
_cell_length_c 5.258
_cell_angle_alpha 90.00
_cell_angle_beta 128.33
_cell_angle_gamma 90.00
_symmetry_space_group_name_H-M 'C 1 2/m 1'
_symmetry_Int_Tables_number 12
loop_
_symmetry_equiv_pos_as_xyz
'x,y,z'
'-x,-y,-z'
'-x,y,-z'
'x,-y,z'
'x+1/2,y+1/2,z'
'-x+1/2,-y+1/2,-z'
'-x+1/2,y+1/2,-z'
'x+1/2,-y+1/2,z'
loop_
_atom_site_label
_atom_site_type_symbol
_atom_site_fract_x
_atom_site_fract_y
_atom_site_fract_z
Th1 Th 0.000 0.000 0.000
Cu1 Cu 0.000 0.500 0.253
Pd1 Pd 0.204 0.201 0.704
```

* formation enthalpy at 0 K: -0.5100 eV/atom
* VASP energy: -5.708 eV per atom



Below is a relaxed structure of Th4CuPd15, with properties calculated at the PBE-GGA level.

```
data_Th4CuPd15
_chemical_formula_sum 'Th4 Cu1 Pd15'
_cell_length_a 4.218
_cell_length_b 4.218
_cell_length_c 20.291
_cell_angle_alpha 90.00
_cell_angle_beta 90.00
_cell_angle_gamma 90.00
_symmetry_space_group_name_H-M 'P 4/m m m'
_symmetry_Int_Tables_number 123
_symmetry_space_group_name_Hall '-P 4 2'
loop_
_atom_site_label
_atom_site_type_symbol
_atom_site_fract_x
_atom_site_fract_y
_atom_site_fract_z
Th1 Th 0.000 0.000 0.105
Th2 Th 0.000 0.000 0.318
Cu1 Cu 0.000 0.000 0.500
Pd1 Pd 0.000 0.500 0.000
Pd2 Pd 0.000 0.500 0.206
Pd3 Pd 0.000 0.500 0.412
Pd4 Pd 0.500 0.500 0.103
Pd5 Pd 0.500 0.500 0.308
Pd6 Pd 0.500 0.500 0.500
```

* formation enthalpy at 0 K: -0.7833 eV/atom
* VASP energy: -6.367 eV per atom



Below is a relaxed structure of Th3Cu4Pd4, with properties calculated at the PBE-GGA level.

```
data_Th3Cu4Pd4
_chemical_formula_sum 'Th6 Cu8 Pd8'
_cell_length_a 4.125
_cell_length_b 7.217
_cell_length_c 14.287
_cell_angle_alpha 90.00
_cell_angle_beta 90.00
_cell_angle_gamma 90.00
_symmetry_space_group_name_H-M 'I m m m'
_symmetry_Int_Tables_number 71
_symmetry_space_group_name_Hall '-I 2 2'
loop_
_atom_site_label
_atom_site_type_symbol
_atom_site_fract_x
_atom_site_fract_y
_atom_site_fract_z
Th1 Th 0.000 0.000 0.000
Th2 Th 0.000 0.500 0.136
Cu1 Cu 0.000 0.302 0.325
Pd1 Pd 0.000 0.000 0.212
Pd2 Pd 0.000 0.196 0.500
```

* formation enthalpy at 0 K: -0.5130 eV/atom
* VASP energy: -5.914 eV per atom



Below is a relaxed structure of Th12Cu5Pd3, with properties calculated at the PBE-GGA level.

```
data_Th12Cu5Pd3
_chemical_formula_sum 'Th96 Cu40 Pd24'
_cell_length_a 16.841
_cell_length_b 16.841
_cell_length_c 16.841
_cell_angle_alpha 90.00
_cell_angle_beta 90.00
_cell_angle_gamma 90.00
_symmetry_space_group_name_H-M 'I a -3 d'
_symmetry_Int_Tables_number 230
_symmetry_space_group_name_Hall '-I 4bd 2c 3'
loop_
_atom_site_label
_atom_site_type_symbol
_atom_site_fract_x
_atom_site_fract_y
_atom_site_fract_z
Th1 Th 0.021 0.072 0.651
Cu1 Cu 0.000 0.000 0.000
Cu2 Cu 0.000 0.250 0.375
Pd1 Pd 0.000 0.250 0.125
```

* formation enthalpy at 0 K: 0.2481 eV/atom
* VASP energy: -6.007 eV per atom



Below is a relaxed structure of Th3Cu3Pd, with properties calculated at the PBE-GGA level.

```
data_Th3Cu3Pd
_chemical_formula_sum 'Th6 Cu6 Pd2'
_cell_length_a 3.696
_cell_length_b 4.277
_cell_length_c 19.581
_cell_angle_alpha 90.00
_cell_angle_beta 90.00
_cell_angle_gamma 90.00
_symmetry_space_group_name_H-M 'I m m 2'
_symmetry_Int_Tables_number 44
loop_
_symmetry_equiv_pos_as_xyz
'x,y,z'
'-x,-y,z'
'-x,y,z'
'x,-y,z'
'x+1/2,y+1/2,z+1/2'
'-x+1/2,-y+1/2,z+1/2'
'-x+1/2,y+1/2,z+1/2'
'x+1/2,-y+1/2,z+1/2'
loop_
_atom_site_label
_atom_site_type_symbol
_atom_site_fract_x
_atom_site_fract_y
_atom_site_fract_z
Th1 Th 0.000 0.000 0.000
Th2 Th 0.000 0.000 0.380
Th3 Th 0.000 0.500 0.190
Cu1 Cu 0.000 0.000 0.554
Cu2 Cu 0.000 0.000 0.832
Cu3 Cu 0.000 0.500 0.621
Pd1 Pd 0.000 0.500 0.753
```

* formation enthalpy at 0 K: -0.3025 eV/atom
* VASP energy: -5.980 eV per atom